Here is a relaxed structure of BeSnSN2 from Alexandria. Energies are from PBEsol.

CIF file:
```
data_BeSnSN2
_chemical_formula_sum 'Be1 Sn1 S1 N2'
_cell_length_a 3.957
_cell_length_b 3.957
_cell_length_c 5.393
_cell_angle_alpha 90.00
_cell_angle_beta 90.00
_cell_angle_gamma 90.00
_space_group_name_H-M_alt 'P 1'
_space_group_IT_number 1
loop_
_space_group_symop_operation_xyz
'x,y,z'
loop_
_atom_site_label
_atom_site_type_symbol
_atom_site_fract_x
_atom_site_fract_y
_atom_site_fract_z
Be1 Be 0.500 0.500 0.500
S1 S 0.000 0.000 0.500
Sn1 Sn 0.000 0.000 0.000
N1 N 0.000 0.500 0.000
N2 N 0.500 0.000 0.000
```

Computed properties:
Formation energy (no corrections), eV/atom: 1.474
Space group: P4/mmm (123)
Total magnetization, Bohr magnetons per cell: 1.92